(1)
This record from Alexandria describes crystalline MgScAgSn at its relaxed geometry. The functional is PBE-GGA.

Computed properties:
electronic total energy	-64.584	eV per cell
crystal system	cubic
density of states at the Fermi level	0.32	states/eV per atom
spin magnetization	0.00	μB/f.u.

a b c (Å): 6.943 6.943 6.943
angles (deg): 90.00 90.00 90.00
Space group F-43m (No. 216)
Symmetry-distinct sites (fractional):
1 Mg 0.000 0.000 0.000 [4 per cell]
2 Sc 0.000 0.000 0.500 [4 per cell]
3 Ag 0.250 0.250 0.750 [4 per cell]
4 Sn 0.250 0.250 0.250 [4 per cell]



(2)
This record from Alexandria describes crystalline MgScAgSn at its relaxed geometry. The functional is PBE-GGA.

Computed properties:
electronic total energy	-16.354	eV per cell
crystal system	orthorhombic
density of states at the Fermi level	0.36	states/eV per atom
spin magnetization	0.00	μB/f.u.

a b c (Å): 4.041 4.401 4.708
angles (deg): 90.00 90.00 90.00
Space group Pmmm (No. 47)
Symmetry-distinct sites (fractional):
1 Mg 0.000 0.000 0.000 [1 per cell]
2 Sc 0.000 0.500 0.500 [1 per cell]
3 Ag 0.500 0.500 0.000 [1 per cell]
4 Sn 0.500 0.000 0.500 [1 per cell]



(3)
This record from Alexandria describes crystalline MgScTiAg2 at its relaxed geometry. The functional is PBE-GGA.

Computed properties:
electronic total energy	-17.512	eV per cell
crystal system	tetragonal
density of states at the Fermi level	1.15	states/eV per atom
spin magnetization	0.95	μB/f.u.

a b c (Å): 4.905 4.905 5.090
angles (deg): 90.00 90.00 90.00
Space group P4/mmm (No. 123)
Symmetry-distinct sites (fractional):
1 Mg 0.000 0.000 0.000 [1 per cell]
2 Sc 0.500 0.500 0.000 [1 per cell]
3 Ti 0.000 0.000 0.500 [1 per cell]
4 Ag 0.000 0.500 0.500 [2 per cell]



(4)
This record from Alexandria describes crystalline MgSc4Tl2Ag at its relaxed geometry. The functional is PBE-GGA.

Computed properties:
electronic total energy	-109.584	eV per cell
crystal system	trigonal
density of states at the Fermi level	0.99	states/eV per atom
spin magnetization	0.89	μB/f.u.

a b c (Å): 5.0124 5.0124 24.5582
angles (deg): 90.00 90.00 120.00
Space group R-3m (No. 166, hexagonal axes)
Symmetry-distinct sites (fractional):
1 Mg 0.0000 0.0000 0.0000 [3 per cell]
2 Sc 0.0000 0.0000 0.1293 [6 per cell]
3 Sc 0.0000 0.0000 0.3805 [6 per cell]
4 Tl 0.0000 0.0000 0.2551 [6 per cell]
5 Ag 0.0000 0.0000 0.5000 [3 per cell]



(5)
This record from Alexandria describes crystalline MgScTlAg at its relaxed geometry. The functional is PBE-GGA.

Computed properties:
electronic total energy	-56.402	eV per cell
crystal system	cubic
density of states at the Fermi level	0.62	states/eV per atom
spin magnetization	0.00	μB/f.u.

a b c (Å): 6.954 6.954 6.954
angles (deg): 90.00 90.00 90.00
Space group F-43m (No. 216)
Symmetry-distinct sites (fractional):
1 Mg 0.000 0.000 0.000 [4 per cell]
2 Sc 0.000 0.000 0.500 [4 per cell]
3 Tl 0.250 0.250 0.750 [4 per cell]
4 Ag 0.250 0.250 0.250 [4 per cell]



(6)
This record from Alexandria describes crystalline TmMgScAg at its relaxed geometry. The functional is PBE-GGA.

Computed properties:
electronic total energy	-15.839	eV per cell
crystal system	orthorhombic
density of states at the Fermi level	0.70	states/eV per atom
spin magnetization	0.00	μB/f.u.

a b c (Å): 3.691 4.907 5.061
angles (deg): 90.00 90.00 90.00
Space group Pmmm (No. 47)
Symmetry-distinct sites (fractional):
1 Tm 0.000 0.000 0.000 [1 per cell]
2 Mg 0.500 0.000 0.500 [1 per cell]
3 Sc 0.000 0.500 0.500 [1 per cell]
4 Ag 0.500 0.500 0.000 [1 per cell]